Here is crystalline InCo2TcN at its relaxed geometry from Alexandria via LeMat-Bulk. Energies are from PBE-GGA.

Properties
density of states at the Fermi level	3.4	states/eV per cell
ΔE_f (raw)	0	meV per atom
total energy	-7.13	eV per atom
M_tot	1.33	μB/f.u.
symmetry	P4/mmm, No. 123

Structure (extended XYZ):
```
5
Lattice="-3.201 1.954 1.116 -2.208 -3.100 -0.905 0.446 -1.414 3.753" Properties=species:S:1:pos:R:3 pbc="T T T"
In -2.482 -1.280 1.982
Co -1.104 -1.550 -0.453
N 0.000 0.000 0.000
Co -1.600 0.977 0.558
Tc 0.223 -0.707 1.877
```